Record 1
A plane-wave DFT calculation with PBE-GGA was carried out for Y2ZnB2 after structural relaxation.

Output
The energy above the lowest structure with this stoichiometry comes out at 0 meV per atom. For the magnetization, the calculation gives 0.000 μB/f.u. The calculation puts the formation energy at -0.290 eV per atom. The density of states at the Fermi level is 6.0 states/eV per cell.

abc: 6.7499 6.7499 3.6872
angles: 90.00 90.00 90.00
Space group P4/mbm (No. 127)
Symmetry-distinct sites (fractional):
Y 0.1860 0.3140 0.0000 (multiplicity 4)
Zn 0.0000 0.0000 0.5000 (multiplicity 2)
B 0.0863 0.5863 0.5000 (multiplicity 4)

=====

Record 2
A plane-wave DFT calculation with PBE-GGA was carried out for Dy2Ho2Sc3 after structural relaxation.

Output
For the magnetization, the calculation gives 0.000 μB/f.u. The calculation puts the formation energy at 0.244 eV per atom. The density of states at the Fermi level is 41.0 states/eV per cell.

abc: 9.2919 9.2919 9.2919
angles: 90.00 90.00 90.00
Space group I2_13 (No. 199)
Symmetry-distinct sites (fractional):
Dy 0.0891 0.4109 0.5891 (multiplicity 8)
Ho 0.2111 0.2111 0.2111 (multiplicity 8)
Sc 0.0000 0.2500 0.9501 (multiplicity 12)

=====

Record 3
A plane-wave DFT calculation with PBE-GGA was carried out for La2PrTmTe5 after structural relaxation.

Output
For the magnetization, the calculation gives 1.086 μB/f.u. The density of states at the Fermi level is 4.7 states/eV per cell. The uncorrected formation energy comes out at -97.61 kJ/mol of atoms.

abc: 5.4593 5.4593 11.8042
angles: 90.00 90.00 90.00
Space group P4/mmm (No. 123)
Symmetry-distinct sites (fractional):
La 0.0000 0.0000 0.1708 (multiplicity 2)
Pr 0.5000 0.5000 0.5000 (multiplicity 1)
Tm 0.5000 0.5000 0.0000 (multiplicity 1)
Te 0.0000 0.0000 0.5000 (multiplicity 1)
Te 0.0000 0.5000 0.0000 (multiplicity 2)
Te 0.5000 0.5000 0.2483 (multiplicity 2)

=====

Record 4
A plane-wave DFT calculation with PBE-GGA was carried out for Tb6Sm3Y2Ho after structural relaxation.

Output
For the magnetization, the calculation gives 0.000 μB/f.u. The calculation puts the formation energy at 0.016 eV per atom. The density of states at the Fermi level is 32.0 states/eV per cell.

abc: 6.1978 10.7285 11.8534
angles: 90.00 99.98 90.00
Space group C2/m (No. 12)
Symmetry-distinct sites (fractional):
Tb 0.2495 0.0000 0.2520 (multiplicity 4)
Tb 0.2493 0.1663 0.7480 (multiplicity 8)
Sm 0.0000 0.1667 0.0000 (multiplicity 4)
Sm 0.0000 0.5000 0.0000 (multiplicity 2)
Y 0.0000 0.3333 0.5000 (multiplicity 4)
Ho 0.0000 0.0000 0.5000 (multiplicity 2)

=====

Record 5
A plane-wave DFT calculation with PBE-GGA was carried out for CrTcW2 after structural relaxation.

Output
The energy above the lowest structure with this stoichiometry comes out at 25 meV per atom. For the magnetization, the calculation gives 0.000 μB/f.u. The calculation puts the formation energy at 0.043 eV per atom. The density of states at the Fermi level is 9.6 states/eV per cell.

abc: 6.1696 8.7534 4.3559
angles: 90.00 90.00 90.00
Space group Cmcm (No. 63)
Symmetry-distinct sites (fractional):
Cr 0.0000 0.1255 0.2500 (multiplicity 4)
Tc 0.0000 0.3758 0.7500 (multiplicity 4)
W 0.2424 0.1246 0.7500 (multiplicity 8)

=====

Record 6
A plane-wave DFT calculation with PBE-GGA was carried out for Ca2Mg after structural relaxation.

Output
For the magnetization, the calculation gives 0.000 μB/f.u. The calculation puts the formation energy at -0.041 eV per atom. The density of states at the Fermi level is 104.3 states/eV per cell.

abc: 15.0210 15.0210 15.0210
angles: 90.00 90.00 90.00
Space group Fd-3m (No. 227, origin choice 2)
Symmetry-distinct sites (fractional):
Ca 0.0000 0.0000 0.0000 (multiplicity 16)
Ca 0.0650 0.3750 0.8750 (multiplicity 48)
Mg 0.0425 0.0425 0.2075 (multiplicity 32)

=====

Record 7
A plane-wave DFT calculation with PBE-GGA was carried out for ScTi2Se4 after structural relaxation.

Output
The energy above the lowest structure with this stoichiometry comes out at 130 meV per atom. For the magnetization, the calculation gives 2.306 μB/f.u. The density of states at the Fermi level is 22.8 states/eV per cell. The uncorrected formation energy comes out at -116.65 kJ/mol of atoms.

abc: 3.6528 12.2161 13.0591
angles: 90.00 90.00 90.00
Space group Cmcm (No. 63)
Symmetry-distinct sites (fractional):
Sc 0.0000 0.1311 0.2500 (multiplicity 4)
Ti 0.0000 0.3732 0.0678 (multiplicity 8)
Se 0.0000 0.0000 0.0000 (multiplicity 4)
Se 0.0000 0.2755 0.6162 (multiplicity 8)
Se 0.0000 0.4656 0.2500 (multiplicity 4)

=====

Record 8
A plane-wave DFT calculation with PBE-GGA was carried out for EuTmSnPt after structural relaxation.

Output
For the magnetization, the calculation gives 6.813 μB/f.u. The calculation puts the formation energy at -0.748 eV per atom. The density of states at the Fermi level is 46.3 states/eV per cell.

abc: 7.3334 7.3334 7.3334
angles: 90.00 90.00 90.00
Space group F-43m (No. 216)
Symmetry-distinct sites (fractional):
Eu 0.0000 0.0000 0.0000 (multiplicity 4)
Tm 0.0000 0.0000 0.5000 (multiplicity 4)
Sn 0.2500 0.2500 0.7500 (multiplicity 4)
Pt 0.2500 0.2500 0.2500 (multiplicity 4)

=====

Record 9
A plane-wave DFT calculation with PBE-GGA was carried out for ReMoIr after structural relaxation.

Output
The energy above the lowest structure with this stoichiometry comes out at 126 meV per atom. For the magnetization, the calculation gives 0.000 μB/f.u. The calculation puts the formation energy at -0.056 eV per atom. The density of states at the Fermi level is 4.7 states/eV per cell.

abc: 2.7161 3.9714 8.3995
angles: 90.00 90.00 90.00
Space group Imm2 (No. 44)
Symmetry-distinct sites (fractional):
Re 0.0000 0.0000 0.0000 (multiplicity 2)
Mo 0.0000 0.0000 0.6697 (multiplicity 2)
Ir 0.0000 0.0000 0.3379 (multiplicity 2)

=====

Record 10
A plane-wave DFT calculation with PBE-GGA was carried out for KTlMo2 after structural relaxation.

Output
The energy above the lowest structure with this stoichiometry comes out at 840 meV per atom. For the magnetization, the calculation gives 0.396 μB/f.u. The calculation puts the formation energy at 1.428 eV per atom. The density of states at the Fermi level is 10.6 states/eV per cell.

abc: 5.8154 10.5826 2.7730
angles: 90.00 90.00 90.00
Space group Cmmm (No. 65)
Symmetry-distinct sites (fractional):
K 0.0000 0.0000 0.0000 (multiplicity 2)
Tl 0.0000 0.5000 0.0000 (multiplicity 2)
Mo 0.2500 0.2500 0.5000 (multiplicity 4)

=====

Record 11
A plane-wave DFT calculation with PBE-GGA was carried out for Sr3ZrTc after structural relaxation.

Output
The energy above the lowest structure with this stoichiometry comes out at 524 meV per atom. For the magnetization, the calculation gives 4.976 μB/f.u. The calculation puts the formation energy at 1.653 eV per atom. The density of states at the Fermi level is 3.9 states/eV per cell.

abc: 5.9256 5.9256 5.9256
angles: 90.00 90.00 90.00
Space group Pm-3m (No. 221)
Symmetry-distinct sites (fractional):
Sr 0.0000 0.0000 0.5000 (multiplicity 3)
Zr 0.0000 0.0000 0.0000 (multiplicity 1)
Tc 0.5000 0.5000 0.5000 (multiplicity 1)

=====

Record 12
A plane-wave DFT calculation with PBE-GGA was carried out for MgSc6Pb after structural relaxation.

Output
The energy above the lowest structure with this stoichiometry comes out at 0 meV per atom. For the magnetization, the calculation gives 2.901 μB/f.u. The calculation puts the formation energy at -0.130 eV per atom. The density of states at the Fermi level is 10.7 states/eV per cell.

abc: 4.5537 4.5537 9.1817
angles: 90.00 90.00 90.00
Space group P4/mmm (No. 123)
Symmetry-distinct sites (fractional):
Mg 0.0000 0.0000 0.0000 (multiplicity 1)
Sc 0.0000 0.5000 0.2507 (multiplicity 4)
Sc 0.5000 0.5000 0.0000 (multiplicity 1)
Sc 0.5000 0.5000 0.5000 (multiplicity 1)
Pb 0.0000 0.0000 0.5000 (multiplicity 1)

=====

Record 13
A plane-wave DFT calculation with PBE-GGA was carried out for BC4 after structural relaxation.

Output
The energy above the lowest structure with this stoichiometry comes out at 9 meV per atom. For the magnetization, the calculation gives 0.000 μB/f.u. The calculation puts the formation energy at 0.233 eV per atom. The density of states at the Fermi level is 2.2 states/eV per cell.

abc: 2.5136 2.5136 19.2322
angles: 90.00 90.00 90.00
Space group I4_1/amd (No. 141, origin choice 2)
Symmetry-distinct sites (fractional):
B 0.0000 0.2500 0.3750 (multiplicity 4)
C 0.0000 0.2500 0.1807 (multiplicity 8)
C 0.0000 0.2500 0.7747 (multiplicity 8)

=====

Record 14
A plane-wave DFT calculation with PBE-GGA was carried out for TaSiSe2N after structural relaxation.

Output
The energy above the lowest structure with this stoichiometry comes out at 221 meV per atom. For the magnetization, the calculation gives 1.243 μB/f.u. The density of states at the Fermi level is 3.8 states/eV per cell. The uncorrected formation energy comes out at 39.34 kJ/mol of atoms.

abc: 5.0210 5.0210 3.2796
angles: 90.00 90.00 90.00
Space group P4/mmm (No. 123)
Symmetry-distinct sites (fractional):
Ta 0.0000 0.0000 0.0000 (multiplicity 1)
Si 0.5000 0.5000 0.5000 (multiplicity 1)
Se 0.0000 0.5000 0.5000 (multiplicity 2)
N 0.5000 0.5000 0.0000 (multiplicity 1)

=====

Record 15
A plane-wave DFT calculation with PBE-GGA was carried out for SnOsRh3 after structural relaxation.

Output
The energy above the lowest structure with this stoichiometry comes out at 0 meV per atom. For the magnetization, the calculation gives 0.000 μB/f.u. The calculation puts the formation energy at 1.048 eV per atom. The density of states at the Fermi level is 5.3 states/eV per cell.

abc: 4.7359 4.7359 4.7359
angles: 90.00 90.00 90.00
Space group Pm-3m (No. 221)
Symmetry-distinct sites (fractional):
Sn 0.0000 0.0000 0.0000 (multiplicity 1)
Os 0.5000 0.5000 0.5000 (multiplicity 1)
Rh 0.0000 0.5000 0.5000 (multiplicity 3)

=====

Record 16
A plane-wave DFT calculation with PBE-GGA was carried out for Ba6Ca7 after structural relaxation.

Output
For the magnetization, the calculation gives 0.001 μB/f.u. The calculation puts the formation energy at 0.026 eV per atom. The density of states at the Fermi level is 49.4 states/eV per cell.

abc: 7.5951 7.5951 41.7164
angles: 90.00 90.00 120.00
Space group R-3m (No. 166, hexagonal axes)
Symmetry-distinct sites (fractional):
Ba 0.0000 0.0000 0.0489 (multiplicity 6)
Ba 0.0000 0.0000 0.1509 (multiplicity 6)
Ba 0.0000 0.0000 0.3332 (multiplicity 6)
Ca 0.0000 0.0000 0.5000 (multiplicity 3)
Ca 0.0005 0.5003 0.9083 (multiplicity 18)

=====

Record 17
A plane-wave DFT calculation with PBE-GGA was carried out for KBaIn2 after structural relaxation.

Output
The energy above the lowest structure with this stoichiometry comes out at 297 meV per atom. For the magnetization, the calculation gives 0.000 μB/f.u. The calculation puts the formation energy at 0.072 eV per atom. The density of states at the Fermi level is 19.7 states/eV per cell.

abc: 9.6576 9.6576 7.0820
angles: 90.00 90.00 90.00
Space group I-42d (No. 122)
Symmetry-distinct sites (fractional):
K 0.0000 0.0000 0.0000 (multiplicity 4)
Ba 0.0000 0.0000 0.5000 (multiplicity 4)
In 0.2475 0.2500 0.1250 (multiplicity 8)

=====

Record 18
A plane-wave DFT calculation with PBE-GGA was carried out for La2Ga9Ru3 after structural relaxation.

Output
For the magnetization, the calculation gives 0.000 μB/f.u. The calculation puts the formation energy at -0.538 eV per atom. The density of states at the Fermi level is 26.2 states/eV per cell.

abc: 13.0732 7.7080 9.9651
angles: 90.00 90.00 90.00
Space group Cmcm (No. 63)
Symmetry-distinct sites (fractional):
La 0.1623 0.1639 0.2500 (multiplicity 8)
Ga 0.0000 0.1362 0.7500 (multiplicity 4)
Ga 0.0000 0.3405 0.0543 (multiplicity 8)
Ga 0.1047 0.4435 0.7500 (multiplicity 8)
Ga 0.1627 0.1749 0.5720 (multiplicity 16)
Ru 0.0000 0.0000 0.0000 (multiplicity 4)
Ru 0.1748 0.5000 0.0000 (multiplicity 8)

=====

Record 19
A plane-wave DFT calculation with PBE-GGA was carried out for Bi3MoPb after structural relaxation.

Output
The energy above the lowest structure with this stoichiometry comes out at 0 meV per atom. For the magnetization, the calculation gives 0.691 μB/f.u. The calculation puts the formation energy at 0.562 eV per atom. The density of states at the Fermi level is 5.2 states/eV per cell.

abc: 5.4385 5.4385 5.4385
angles: 90.00 90.00 90.00
Space group Pm-3m (No. 221)
Symmetry-distinct sites (fractional):
Bi 0.0000 0.0000 0.5000 (multiplicity 3)
Mo 0.0000 0.0000 0.0000 (multiplicity 1)
Pb 0.5000 0.5000 0.5000 (multiplicity 1)

=====

Record 20
A plane-wave DFT calculation with PBE-GGA was carried out for AcSmI after structural relaxation.

Output
The energy above the lowest structure with this stoichiometry comes out at 0 meV per atom. For the magnetization, the calculation gives 0.424 μB/f.u. The density of states at the Fermi level is 3.4 states/eV per cell. The uncorrected formation energy comes out at -53.17 kJ/mol of atoms.

abc: 4.0133 4.0133 8.2436
angles: 90.00 90.00 120.00
Space group P3m1 (No. 156)
Symmetry-distinct sites (fractional):
Ac 0.0000 0.0000 0.0000 (multiplicity 1)
Sm 0.3333 0.6667 0.6410 (multiplicity 1)
I 0.6667 0.3333 0.3515 (multiplicity 1)